The following is a DFT calculation (GGA-PBE) of a relaxed Nd4OsSeI2 crystal.

Geometry as POSCAR:
```
Nd4OsSeI2
1.0
7.718 0.000 0.000
0.000 4.201 0.000
-2.314 0.000 7.884
Nd Os Se I
4 1 1 2
direct
0.206 0.000 0.187
0.247 0.500 0.809
0.753 0.500 0.191
0.794 0.000 0.813
0.000 0.500 0.000
0.500 0.000 0.000
0.000 0.000 0.500
0.500 0.500 0.500
```

Computed properties:
spin magnetization: 0.000 μB per atom
crystal system: monoclinic
final energy: -0.4111 Ry/atom
uncorrected formation energy: -0.98 eV/atom